1.
A geometry-optimized SrGa2P2 structure. Source: Alexandria, functional PBE-GGA.

Summary:
For the density of states at the Fermi level, the calculation gives 0.405 states/eV/atom. The calculation puts the energy above the most stable polymorph in this dataset at 126.2 meV per atom. The value obtained for the formation energy is -343 meV per atom.

abc: 4.1852 4.1852 12.5131
angles: 90.00 90.00 90.00
Space group I4/mmm (No. 139)
Unique sites:
Sr: 0.0000 0.0000 0.0000 [2 per cell]
Ga: 0.0000 0.5000 0.2500 [4 per cell]
P: 0.0000 0.0000 0.4114 [4 per cell]


2.
A geometry-optimized BaZnAgGe2 structure. Source: Alexandria, functional PBE-GGA.

Summary:
For the density of states at the Fermi level, the calculation gives 0.307 states/eV/atom. The value obtained for the formation energy is -362 meV per atom.

abc: 4.5850 4.5850 10.9425
angles: 90.00 90.00 90.00
Space group I-4m2 (No. 119)
Unique sites:
Ba: 0.0000 0.0000 0.0000 [2 per cell]
Zn: 0.0000 0.5000 0.2500 [2 per cell]
Ag: 0.0000 0.5000 0.7500 [2 per cell]
Ge: 0.0000 0.0000 0.3803 [4 per cell]


3.
A geometry-optimized Rb4CePr3O8 structure. Source: Alexandria, functional PBE-GGA.

Summary:
For the density of states at the Fermi level, the calculation gives 0.199 states/eV/atom. Its formation energy (no corrections) is -2.529 eV/atom.

abc: 7.3936 7.3936 19.8387
angles: 90.00 90.00 120.00
Space group R-3m (No. 166, hexagonal axes)
Unique sites:
Rb: 0.0000 0.0000 0.0000 [3 per cell]
Rb: 0.0000 0.5000 0.0000 [9 per cell]
Ce: 0.0000 0.0000 0.5000 [3 per cell]
Pr: 0.0000 0.5000 0.5000 [9 per cell]
O: 0.0000 0.0000 0.2272 [6 per cell]
O: 0.0042 0.5021 0.2268 [18 per cell]


Q: Number 2 is which compound?
A: BaZnAgGe2


Q: Which formula does entry 1 have?
A: SrGa2P2